First-principles (meta-GGA SCAN) data for a crystal of KMgMn2 relaxed with PBEsol, as listed in Alexandria via LeMat-Bulk.

Structure (POSCAR):
```
KMgMn2
1.0
2.859 0.000 0.000
0.000 4.731 0.000
-1.312 0.000 7.182
K Mg Mn
1 1 2
Direct
0.000 0.000 0.000
0.500 0.000 0.500
0.276 0.500 0.647
0.724 0.500 0.353
```

volume: 24.28 Å³ per atom
DFT total energy: -12.02 eV per atom
space-group type: No. 10

***

First-principles (meta-GGA SCAN) data for a crystal of K2MgMo relaxed with PBEsol, as listed in Alexandria via LeMat-Bulk.

Structure (POSCAR):
```
K2MgMo
1.0
1.638 -2.447 0.000
1.638 2.447 0.000
0.000 0.000 12.630
K Mg Mo
2 1 1
Direct
0.000 0.000 0.234
0.000 0.000 0.766
0.500 0.500 0.500
0.500 0.500 0.000
```

volume: 25.31 Å³ per atom
DFT total energy: -13.01 eV per atom
space-group type: No. 65

***

First-principles (meta-GGA SCAN) data for a crystal of K2MgMo relaxed with PBEsol, as listed in Alexandria via LeMat-Bulk.

Structure (POSCAR):
```
K2MgMo
1.0
4.940 -1.423 0.000
4.940 1.423 0.000
-0.218 0.000 9.641
K Mg Mo
2 1 1
Direct
0.000 0.000 0.000
0.240 0.240 0.596
0.486 0.486 0.342
0.752 0.752 0.254
```

volume: 33.88 Å³ per atom
DFT total energy: -13.16 eV per atom
space-group type: No. 8

***

First-principles (meta-GGA SCAN) data for a crystal of K2MgMo relaxed with PBEsol, as listed in Alexandria via LeMat-Bulk.

Structure (POSCAR):
```
K2MgMo
1.0
4.670 0.000 0.000
0.000 4.670 0.000
0.000 0.000 5.906
K Mg Mo
2 1 1
Direct
0.000 0.500 0.000
0.500 0.000 0.000
0.000 0.000 0.500
0.500 0.500 0.500
```

volume: 32.20 Å³ per atom
DFT total energy: -13.02 eV per atom
space-group type: No. 123

***

First-principles (meta-GGA SCAN) data for a crystal of K2MgMo relaxed with PBEsol, as listed in Alexandria via LeMat-Bulk.

Structure (POSCAR):
```
K2MgMo
1.0
3.218 -6.193 0.000
3.218 6.193 0.000
-1.138 0.000 2.601
K Mg Mo
2 1 1
Direct
0.000 0.500 0.000
0.500 0.000 0.000
0.000 0.000 0.500
0.500 0.500 0.500
```

volume: 25.91 Å³ per atom
DFT total energy: -12.95 eV per atom
space-group type: No. 12

***

First-principles (meta-GGA SCAN) data for a crystal of KMgMo relaxed with PBEsol, as listed in Alexandria via LeMat-Bulk.

Structure (POSCAR):
```
KMgMo
1.0
-1.405 1.405 8.531
1.405 -1.405 8.531
1.405 1.405 -8.531
K Mg Mo
1 1 1
Direct
0.000 0.000 0.000
0.703 0.703 0.000
0.327 0.327 0.000
```

volume: 22.44 Å³ per atom
DFT total energy: -15.16 eV per atom
space-group type: No. 107